DFT (PBEsol) results for an optimized crystal structure of NaLa3Co.

Results
- calculated formation energy (eV/f.u.) = 0.26
- final energy (eV/cell) = -24.912
- magnetic moment (μB per cell) = 0.0
- density (g/cm³) = 5.2

```
NaLa3Co
1.0
-0.9811 1.6001 -5.0832
-1.2862 -5.0869 -1.3530
-5.1715 0.9616 1.3008
La Na Co
3 1 1
Direct
0.0000 0.5000 0.0000
0.0000 0.0000 0.5000
0.5000 0.0000 0.0000
0.5000 0.5000 0.5000
0.0000 0.0000 0.0000
```

***

DFT (PBEsol) results for an optimized crystal structure of La3NbCo.

Results
- calculated formation energy (eV/f.u.) = 2.42
- final energy (eV/cell) = -32.180
- magnetic moment (μB per cell) = 2.9
- density (g/cm³) = 6.8

```
La3NbCo
1.0
-2.7878 1.6044 4.0701
3.5354 -2.0166 3.2165
2.5770 4.5023 -0.0097
La Nb Co
3 1 1
Direct
0.5000 0.0000 0.0000
0.0000 0.0000 0.5000
0.0000 0.5000 0.0000
0.5000 0.5000 0.5000
0.0000 0.0000 0.0000
```

***

DFT (PBEsol) results for an optimized crystal structure of LaNdCo2O6.

Results
- final energy (eV/cell) = -160.425
- energy relative to the elements, uncorrected (eV/atom) = -2.27
- magnetic moment (μB per cell) = 0.0
- density (g/cm³) = 7.7

```
LaNdCo2O6
1.0
5.3443 0.0000 0.0000
0.0000 5.3179 0.0000
0.0000 0.0000 7.5393
O Co La Nd
12 4 2 2
Direct
0.5321 0.7827 0.7906
0.3136 0.0031 0.5000
0.5321 0.7827 0.2094
0.1771 0.9922 0.0000
0.0364 0.7138 0.7178
0.0364 0.7138 0.2822
0.4679 0.2827 0.7906
0.9636 0.2138 0.2822
0.8229 0.4922 0.0000
0.4679 0.2827 0.2094
0.9636 0.2138 0.7178
0.6864 0.5030 0.5000
0.2486 0.0017 0.2484
0.7514 0.5017 0.7516
0.7514 0.5017 0.2484
0.2486 0.0017 0.7516
0.2454 0.4687 0.5000
0.7546 0.9687 0.5000
0.7420 0.0398 0.0000
0.2580 0.5398 0.0000
```

***

DFT (PBEsol) results for an optimized crystal structure of La2CoNi.

Results
- calculated formation energy (eV/f.u.) = 0.39
- final energy (eV/cell) = -24.199
- magnetic moment (μB per cell) = 0.8
- density (g/cm³) = 7.5

```
La2CoNi
1.0
3.3832 0.0000 0.0000
0.0000 3.3832 0.0000
0.0000 0.0000 7.6342
Ni Co La
1 1 2
Direct
0.0000 0.0000 0.5679
0.5000 0.5000 0.6712
0.5000 0.5000 0.3499
0.0000 0.0000 0.9109
```

***

DFT (PBEsol) results for an optimized crystal structure of La2CoNi.

Results
- calculated formation energy (eV/f.u.) = -0.62
- final energy (eV/cell) = -25.212
- magnetic moment (μB per cell) = 0.0
- density (g/cm³) = 6.8

```
La2CoNi
1.0
-0.6489 -2.6492 2.8720
0.2796 -3.8734 -0.7786
6.8221 -2.0174 2.4116
Ni La Co
1 2 1
Direct
0.5413 0.5413 0.3760
0.7880 0.7880 0.6359
0.9621 0.9621 0.1137
0.2085 0.2085 0.3744
```

***

DFT (PBEsol) results for an optimized crystal structure of LaCo2Ni.

Results
- calculated formation energy (eV/f.u.) = -0.34
- final energy (eV/cell) = -27.320
- magnetic moment (μB per cell) = 2.0
- density (g/cm³) = 7.9

```
LaCo2Ni
1.0
-2.5790 -2.9994 -0.6481
3.6154 -0.7653 1.5511
-3.3322 2.0893 3.5904
Ni La Co
1 1 2
Direct
0.3071 0.6142 0.9211
0.4998 0.9995 0.5005
0.0061 0.0122 0.0178
0.6871 0.3741 0.0606
```

***

DFT (PBEsol) results for an optimized crystal structure of La2CoNi.

Results
- calculated formation energy (eV/f.u.) = -0.67
- final energy (eV/cell) = -25.258
- magnetic moment (μB per cell) = 0.0
- density (g/cm³) = 7.8

```
La2CoNi
1.0
3.8438 0.0000 0.0000
0.0000 3.9699 0.0000
-1.9219 0.0000 5.5061
La Ni Co
2 1 1
Direct
0.3925 0.5000 0.7850
0.1199 0.0000 0.2398
0.8263 0.0000 0.6526
0.6783 0.5000 0.3566
```

***

DFT (PBEsol) results for an optimized crystal structure of LaCoNi4.

Results
- calculated formation energy (eV/f.u.) = -1.20
- final energy (eV/cell) = -38.918
- magnetic moment (μB per cell) = 2.6
- density (g/cm³) = 8.7

```
LaCoNi4
1.0
-0.1110 3.7080 1.2664
-3.8700 0.8618 -2.8622
-0.7581 -1.5817 4.5646
Ni La Co
4 1 1
Direct
0.5000 0.0000 0.5000
0.5000 0.5000 0.0000
0.0000 0.3382 0.6618
0.0000 0.6618 0.3382
0.0000 0.0000 0.0000
0.5000 0.5000 0.5000
```